An optimized crystal structure of Tl3TcI7. Source: Alexandria via LeMat-Bulk, functional PBE.

POSCAR file:
```
Tl3TcI7
1.0
7.258 0.847 3.477
-0.844 7.258 3.477
-0.365 -0.461 8.833
Tl Tc I
3 1 7
Direct
0.806 0.200 0.483
0.508 0.508 0.926
0.200 0.806 0.483
0.013 0.013 0.975
0.178 0.178 0.096
0.686 0.070 0.207
0.964 0.339 0.731
0.070 0.686 0.207
0.519 0.519 0.548
0.339 0.964 0.731
0.843 0.843 0.861
```

Electronic total energy ... -32.26 eV/cell
Energy relative to the elements, uncorrected ... -0.36 eV/atom
Calculated volume ... 492.8 Å³/cell